A relaxed La3PrSm5 crystal. Source: Alexandria via LeMat-Bulk, functional PBE.

Cell: 7.5713 7.5713 12.8447 Å, 81.35 81.35 68.12°
Closest atoms and distances in Å follow each position.
Positions (direct):
La: 0.6154 0.6154 0.7882  5 Sm 3.22-3.51, 1 La 3.35
La: 0.7280 0.7280 0.5313  2 Sm 3.25-3.52, 2 La 3.35-3.36, 1 Pr 3.52
La: 0.0000 0.0000 0.0000  2 Sm 2.69
La: 0.0000 0.0000 0.5000  2 La 3.36, 2 Pr 3.73
La: 0.3846 0.3846 0.2118  5 Sm 3.22-3.51, 1 La 3.35
La: 0.2720 0.2720 0.4687  2 Sm 3.25-3.52, 2 La 3.35-3.36, 1 Pr 3.52
Pr: 0.1368 0.1368 0.7344  3 La 3.52-3.73, 4 Sm 3.67-3.88
Pr: 0.8632 0.8632 0.2656  3 La 3.52-3.73, 4 Sm 3.67-3.88
Sm: 0.9409 0.3296 0.2249  2 Sm 3.27-3.30, 1 La 3.51
Sm: 0.3176 0.6824 0.0000  1 La 2.69
Sm: 0.7409 0.7409 0.0266  1 La 3.21, 2 Sm 3.47
Sm: 0.5534 0.5534 0.3734  3 La 3.22-3.52, 3 Sm 3.27-3.29
Sm: 0.4466 0.4466 0.6266  3 La 3.22-3.52, 3 Sm 3.27-3.29
Sm: 0.2591 0.2591 0.9734  1 La 3.21, 2 Sm 3.47
Sm: 0.3296 0.9409 0.2249  2 Sm 3.27-3.30, 1 La 3.51
Sm: 0.6824 0.3176 0.0000  1 La 2.69
Sm: 0.0591 0.6704 0.7751  2 Sm 3.27-3.30, 1 La 3.51
Sm: 0.6704 0.0591 0.7751  2 Sm 3.27-3.30, 1 La 3.51

The value obtained for the density of states at the Fermi level is 14.1 states/eV/f.u. As for the symmetry: C2/m (12). The formation enthalpy at 0 K comes out at 385 meV per atom.

A relaxed LaPr3Sm6 crystal. Source: Alexandria via LeMat-Bulk, functional PBE.

Cell: 10.1088 10.1088 7.0659 Å, 44.33 44.33 60.00°
Closest atoms and distances in Å follow each position.
Positions (direct):
La: 0.9002 0.9002 0.2996  2 Pr 2.98, 3 Sm 3.29
Pr: 0.4001 0.4001 0.7996  2 Pr 2.99-3.00, 3 Sm 3.28
Pr: 0.6508 0.6508 0.0477  1 La 2.98, 1 Pr 2.99
Pr: 0.1492 0.1492 0.5523  1 La 2.98, 1 Pr 3.00
Sm: 0.9001 0.5740 0.3002  1 La 3.29, 2 Pr 3.55
Sm: 0.2257 0.9001 0.3002  1 La 3.29, 2 Pr 3.55
Sm: 0.5740 0.2257 0.3002  1 La 3.29, 2 Pr 3.55
Sm: 0.0759 0.4001 0.8000  3 Pr 3.28-3.56
Sm: 0.7240 0.0759 0.8000  3 Pr 3.28-3.56
Sm: 0.4001 0.7240 0.8000  3 Pr 3.28-3.56

The value obtained for the density of states at the Fermi level is 21.6 states/eV/f.u. As for the symmetry: R32 (155). The formation enthalpy at 0 K comes out at 253 meV per atom. Its polymorph energy (0 for the lowest one) is 117 meV per atom.

A relaxed La7Pr4Sm crystal. Source: Alexandria via LeMat-Bulk, functional PBE.

Cell: 6.1877 9.9858 8.9492 Å, 60.32 69.77 71.95°
Closest atoms and distances in Å follow each position.
Positions (direct):
La: 0.7920 0.8730 0.5430  3 La 3.29-3.67
La: 0.2080 0.1270 0.4570  3 La 3.29-3.67
La: 0.0807 0.5676 0.2710  3 La 3.49-3.78, 5 Pr 3.54-3.88, 1 Sm 3.73
La: 0.9193 0.4324 0.7290  3 La 3.49-3.78, 5 Pr 3.54-3.88, 1 Sm 3.73
La: 0.2062 0.7846 0.8030  1 Sm 3.14, 1 La 3.29, 2 Pr 3.34-3.40
La: 0.5000 0.0000 0.0000  2 Sm 3.09
La: 0.7938 0.2154 0.1969  1 Sm 3.14, 1 La 3.29, 2 Pr 3.34-3.40
Pr: 0.5748 0.2979 0.5525  4 La 3.40-3.74, 1 Pr 3.54
Pr: 0.4252 0.7021 0.4475  4 La 3.40-3.74, 1 Pr 3.54
Pr: 0.6722 0.6039 0.0516  7 La 3.34-3.72
Pr: 0.3278 0.3961 0.9484  7 La 3.34-3.72
Sm: 0.0000 0.0000 0.0000  4 La 3.09-3.14

The value obtained for the density of states at the Fermi level is 20.4 states/eV/f.u. As for the symmetry: C2/m (12). The formation enthalpy at 0 K comes out at 181 meV per atom. Its polymorph energy (0 for the lowest one) is 169 meV per atom.

A relaxed La7PrSm3 crystal. Source: Alexandria via LeMat-Bulk, functional PBE.

Cell: 8.7558 7.3625 7.3621 Å, 120.00 89.99 90.00°
Closest atoms and distances in Å follow each position.
Positions (direct):
La: 0.1053 0.1649 0.8352  2 Sm 3.54, 1 Pr 3.63, 8 La 3.64-3.75
La: 0.1055 0.1649 0.3298  2 Sm 3.54, 1 Pr 3.62, 8 La 3.64-3.75
La: 0.1289 0.6667 0.3333  9 La 3.61-3.69, 3 Sm 3.70
La: 0.4603 0.8349 0.1650  2 Sm 3.54, 7 La 3.61-3.75, 2 Pr 3.69
La: 0.4603 0.3301 0.1650  2 Sm 3.54, 7 La 3.61-3.75, 2 Pr 3.69
La: 0.4603 0.8349 0.6699  2 Sm 3.54, 7 La 3.61-3.75, 2 Pr 3.69
La: 0.1053 0.6703 0.8352  2 Sm 3.54, 1 Pr 3.63, 8 La 3.64-3.75
Pr: 0.4390 0.3334 0.6667  9 La 3.62-3.69, 3 Sm 3.69
Sm: 0.7834 0.5000 0.4998  5 La 3.54-3.70, 4 Sm 3.68, 1 Pr 3.69
Sm: 0.7833 0.5001 0.0002  5 La 3.54-3.70, 4 Sm 3.68, 1 Pr 3.69
Sm: 0.7834 0.9998 0.4998  5 La 3.54-3.70, 4 Sm 3.68, 1 Pr 3.69

The value obtained for the density of states at the Fermi level is 17.1 states/eV/f.u. As for the symmetry: P3m1 (156). The formation enthalpy at 0 K comes out at 163 meV per atom.

A relaxed La5Pr4Sm4 crystal. Source: Alexandria via LeMat-Bulk, functional PBE.

Cell: 5.2141 9.8032 9.8135 Å, 85.87 74.59 74.58°
Closest atoms and distances in Å follow each position.
Positions (direct):
La: 0.6913 0.8480 0.7693  5 Sm 3.68-3.72, 4 La 3.69-3.70, 3 Pr 3.70-3.73
La: 0.3087 0.1520 0.2307  5 Sm 3.68-3.72, 4 La 3.69-3.70, 3 Pr 3.70-3.73
La: 0.0000 0.0000 0.0000  8 La 3.69, 4 Sm 3.73
La: 0.5394 0.7692 0.1521  5 Sm 3.68-3.72, 4 La 3.69-3.70, 3 Pr 3.70-3.73
La: 0.4606 0.2308 0.8479  5 Sm 3.68-3.72, 4 La 3.69-3.70, 3 Pr 3.70-3.73
Pr: 0.9230 0.4612 0.6929  4 Sm 3.68-3.71, 3 La 3.70-3.73, 5 Pr 3.70-3.72
Pr: 0.6158 0.3072 0.4612  4 Sm 3.68-3.71, 5 Pr 3.70-3.72, 3 La 3.70-3.73
Pr: 0.0770 0.5388 0.3071  4 Sm 3.68-3.71, 3 La 3.70-3.73, 5 Pr 3.70-3.72
Pr: 0.3842 0.6928 0.5388  4 Sm 3.68-3.71, 5 Pr 3.70-3.72, 3 La 3.70-3.73
Sm: 0.7675 0.3870 0.0779  2 Sm 3.68, 6 La 3.68-3.73, 4 Pr 3.68-3.71
Sm: 0.2325 0.6130 0.9221  2 Sm 3.68, 6 La 3.68-3.73, 4 Pr 3.68-3.71
Sm: 0.8454 0.9221 0.3870  2 Sm 3.68, 4 Pr 3.68-3.71, 6 La 3.68-3.73
Sm: 0.1546 0.0779 0.6130  2 Sm 3.68, 4 Pr 3.68-3.71, 6 La 3.68-3.73

The value obtained for the density of states at the Fermi level is 23.9 states/eV/f.u. As for the symmetry: C2/m (12). The formation enthalpy at 0 K comes out at 18 meV per atom.

A relaxed LaPr3Sm12 crystal. Source: Alexandria via LeMat-Bulk, functional PBE.

Cell: 5.1679 5.1679 20.6444 Å, 90.00 90.00 90.00°
Closest atoms and distances in Å follow each position.
Positions (direct):
La: 0.0000 0.0000 0.0000  12 Sm 3.65-3.66
Pr: 0.0000 0.0000 0.2499  12 Sm 3.64-3.66
Pr: 0.0000 0.0000 0.5000  12 Sm 3.65
Pr: 0.0000 0.0000 0.7501  12 Sm 3.64-3.66
Sm: 0.5000 0.5000 0.0000  4 La 3.65, 8 Sm 3.66
Sm: 0.5000 0.5000 0.2507  8 Sm 3.64-3.65, 4 Pr 3.65
Sm: 0.5000 0.5000 0.5000  8 Sm 3.65, 4 Pr 3.65
Sm: 0.5000 0.5000 0.7493  8 Sm 3.64-3.65, 4 Pr 3.65
Sm: 0.5000 0.0000 0.1256  2 Pr 3.64, 8 Sm 3.65-3.66, 2 La 3.66
Sm: 0.5000 0.0000 0.3751  8 Sm 3.64-3.65, 4 Pr 3.65-3.66
Sm: 0.5000 0.0000 0.6249  8 Sm 3.64-3.65, 4 Pr 3.65-3.66
Sm: 0.5000 0.0000 0.8744  2 Pr 3.64, 8 Sm 3.65-3.66, 2 La 3.66
Sm: 0.0000 0.5000 0.1256  2 Pr 3.64, 8 Sm 3.65-3.66, 2 La 3.66
Sm: 0.0000 0.5000 0.3751  8 Sm 3.64-3.65, 4 Pr 3.65-3.66
Sm: 0.0000 0.5000 0.6249  8 Sm 3.64-3.65, 4 Pr 3.65-3.66
Sm: 0.0000 0.5000 0.8744  2 Pr 3.64, 8 Sm 3.65-3.66, 2 La 3.66

The value obtained for the density of states at the Fermi level is 24.4 states/eV/f.u. As for the symmetry: P4/mmm (123). The formation enthalpy at 0 K comes out at 15 meV per atom.

A relaxed La5Pr2Sm crystal. Source: Alexandria via LeMat-Bulk, functional PBE.

Cell: 5.7660 6.7684 16.7861 Å, 90.00 90.00 115.21°
Closest atoms and distances in Å follow each position.
Positions (direct):
La: 0.9240 0.8480 0.9064  1 Sm 3.39, 3 La 3.65-3.78, 1 Pr 3.74
La: 0.9240 0.8480 0.5936  1 Sm 3.39, 3 La 3.65-3.78, 1 Pr 3.74
La: 0.3843 0.7686 0.4480  1 La 3.33, 3 Pr 3.45-3.66, 1 Sm 3.70
La: 0.3843 0.7686 0.0520  1 La 3.33, 3 Pr 3.45-3.66, 1 Sm 3.70
La: 0.5338 0.0676 0.2500  1 Sm 3.46, 2 Pr 3.55, 2 La 3.80
La: 0.4662 0.9324 0.7500  1 Sm 3.46, 2 Pr 3.55, 2 La 3.80
La: 0.6157 0.2314 0.5520  1 La 3.33, 3 Pr 3.45-3.66, 1 Sm 3.70
La: 0.6157 0.2314 0.9480  1 La 3.33, 3 Pr 3.45-3.66, 1 Sm 3.70
La: 0.0760 0.1520 0.0936  1 Sm 3.39, 3 La 3.65-3.78, 1 Pr 3.74
La: 0.0760 0.1520 0.4064  1 Sm 3.39, 3 La 3.65-3.78, 1 Pr 3.74
Pr: 0.7750 0.5501 0.3674  7 La 3.45-3.83, 2 Sm 3.50
Pr: 0.7750 0.5501 0.1326  7 La 3.45-3.83, 2 Sm 3.50
Pr: 0.2250 0.4499 0.6326  7 La 3.45-3.83, 2 Sm 3.50
Pr: 0.2250 0.4499 0.8674  7 La 3.45-3.83, 2 Sm 3.50
Sm: 0.7487 0.4975 0.7500  5 La 3.39-3.70, 4 Pr 3.50
Sm: 0.2513 0.5025 0.2500  5 La 3.39-3.70, 4 Pr 3.50

The value obtained for the density of states at the Fermi level is 12.0 states/eV/f.u. As for the symmetry: Cmcm (63). The formation enthalpy at 0 K comes out at 100 meV per atom.

A relaxed LaPr3Sm7 crystal. Source: Alexandria via LeMat-Bulk, functional PBE.

Cell: 6.5256 7.8570 7.8570 Å, 81.29 85.94 85.94°
Closest atoms and distances in Å follow each position.
Positions (direct):
La: 0.5000 0.5000 0.5000  4 Sm 3.26-3.51
Pr: 0.0000 0.8254 0.1746  7 Sm 3.33-3.61, 3 Pr 3.57-3.72
Pr: 0.5000 0.0000 0.0000  6 Sm 3.55-3.72, 4 Pr 3.72
Pr: 0.0000 0.1746 0.8254  7 Sm 3.33-3.61, 3 Pr 3.57-3.72
Sm: 0.7905 0.2373 0.2373  5 Sm 3.36-3.56, 1 La 3.51, 3 Pr 3.51-3.55
Sm: 0.7396 0.9197 0.5735  6 Sm 3.36-3.75, 3 Pr 3.60-3.72
Sm: 0.2604 0.4265 0.0803  6 Sm 3.36-3.75, 3 Pr 3.60-3.72
Sm: 0.7396 0.5735 0.9197  6 Sm 3.36-3.75, 3 Pr 3.60-3.72
Sm: 0.0000 0.5000 0.5000  2 La 3.26, 2 Pr 3.33, 2 Sm 3.53
Sm: 0.2604 0.0803 0.4265  6 Sm 3.36-3.75, 3 Pr 3.60-3.72
Sm: 0.2095 0.7627 0.7627  5 Sm 3.36-3.56, 1 La 3.51, 3 Pr 3.51-3.55

The value obtained for the density of states at the Fermi level is 15.4 states/eV/f.u. As for the symmetry: C2/m (12). The formation enthalpy at 0 K comes out at 201 meV per atom. Its polymorph energy (0 for the lowest one) is 30 meV per atom.